The following is a DFT calculation (PBE) of an optimized crystal structure of SmGePd.

Cell and atoms, written as POSCAR:
```
SmGePd
1.0
-5.033 -2.290 -4.654
-2.109 -2.108 3.318
-4.149 6.318 1.377
Ge Pd Sm
4 4 4
Cartesian
-8.875 2.574 0.492
-6.265 0.233 -2.335
-5.026 1.688 2.376
-2.415 -0.653 -0.451
-4.374 -1.605 -2.301
-8.038 0.257 -0.448
-3.252 1.664 0.489
-6.916 3.526 2.342
-5.960 2.801 -0.510
-2.455 -0.282 2.759
-5.330 -0.880 0.551
-8.835 2.202 -2.718
```

Values from the calculation:
size of the total moment	0.00	μB per formula unit
total energy	-69.5	eV/cell